A plane-wave DFT calculation with PBE with a Hubbard U was carried out for an optimized crystal structure of Mn7Cl12O.

```
20
Lattice="7.855 -0.117 -2.355 -3.133 7.204 -2.355 -0.078 -0.117 8.200" Properties=species:S:1:pos:R:3 pbc="T T T"
Mn 5.441 4.677 3.445
Mn 2.185 0.719 -0.778
Mn 0.717 0.148 2.315
Mn 2.322 3.485 1.745
Mn 3.927 6.823 1.175
Mn 2.459 6.252 4.268
Mn -0.797 2.293 0.045
Cl 6.234 2.026 3.537
Cl 4.751 1.456 -1.514
Cl 2.975 1.008 1.657
Cl 4.645 4.350 1.094
Cl 1.395 0.438 4.984
Cl 3.113 3.837 4.158
Cl 1.532 3.134 -0.667
Cl 3.249 6.533 -1.494
Cl -0.001 2.621 2.397
Cl 1.669 5.963 1.834
Cl -0.107 5.515 5.004
Cl -1.589 4.945 -0.046
O 0.000 0.000 0.000
```

size of the total moment = 35.0 μB/f.u.
E = -5.261 eV per atom